VASP calculation (PBE) on an optimized crystal structure of HIrS2.

Calculated values
- ΔE to the lowest computed polymorph: 0.880 eV per atom
- V: 303.5 Å³ per cell
- Theoretical density: 5.63 Mg/m³
- Total moment: 2.1 μB/cell

a b c (Å): 7.500 7.500 5.397
angles (deg): 90.00 90.00 90.00
Space group I4/mcm (No. 140)
Inequivalent atoms, fractional coordinates:
1 H 0.000 0.000 0.250 [4 per cell]
2 Ir 0.000 0.500 0.250 [4 per cell]
3 S 0.171 0.329 0.000 [8 per cell]